Here is an optimized crystal structure of ScP4Se from Alexandria via LeMat-Bulk. Energies are from PBE.

Its magnetization is 0.0000 μB per atom. The raw formation energy comes out at 0.078 eV/atom. For the mass density, the calculation gives 4.0 g/cm³.

The structure belongs to space group F-43m (No. 216); the cell edges are 7.4602, 7.4602 and 7.4602 Å and the angles 90.00°, 90.00° and 90.00°. The distinct sites, in fractional coordinates, are Sc at (0.0000, 0.0000, 0.0000), P at (0.1105, 0.1105, 0.6105) and Se at (0.2500, 0.2500, 0.2500).